Material: PaTiAu
Method: DFT, PBE-GGA
State: relaxed

Lattice parameters (Å, degrees): 4.8174 4.8174 3.1494 90.00 90.00 120.00
Closest atoms and distances in Å follow each position.
Space group P-6m2 (No. 187)
One atom of each set of equivalent atoms:
1 Pa 0.0000 0.0000 0.0000 [1 per cell]  2 Pa 3.15, 6 Ti 3.20, 6 Au 3.20
2 Ti 0.6667 0.3333 0.5000 [1 per cell]  3 Au 2.78
3 Au 0.3333 0.6667 0.5000 [1 per cell]  3 Ti 2.78

The formation enthalpy at 0 K is -0.0024 eV per atom.

***

Material: Dy2MgI
Method: DFT, PBE-GGA
State: relaxed

Lattice parameters (Å, degrees): 3.5908 3.5908 34.7449 90.00 90.00 120.00
Closest atoms and distances in Å follow each position.
Space group R-3m (No. 166, hexagonal axes)
One atom of each set of equivalent atoms:
1 Dy 0.0000 0.0000 0.0946 [6 per cell]  3 I 3.25, 1 Mg 3.29, 6 Dy 3.59
2 Mg 0.0000 0.0000 0.0000 [3 per cell]  2 Dy 3.29, 6 Mg 3.59
3 I 0.0000 0.0000 0.5000 [3 per cell]  6 Dy 3.25, 6 I 3.59

As for the energy relative to the elements, uncorrected: -0.28 kJ/mol of atoms.

***

Material: Hg3AuSe4
Method: DFT, PBE-GGA
State: relaxed

Lattice parameters (Å, degrees): 8.6907 7.5492 7.2022 90.00 90.00 90.00
Closest atoms and distances in Å follow each position.
Space group Pmn2_1 (No. 31)
One atom of each set of equivalent atoms:
1 Hg 0.0000 0.1680 0.0000 [2 per cell]  4 Se 2.71-2.72
2 Hg 0.2493 0.6685 0.9983 [4 per cell]  4 Se 2.70-2.71
3 Au 0.0000 0.8339 0.5002 [2 per cell]  4 Se 2.58-2.59
4 Se 0.0000 0.1547 0.6232 [2 per cell]  1 Au 2.58, 3 Hg 2.71-2.72
5 Se 0.0000 0.8342 0.1401 [2 per cell]  1 Au 2.59, 3 Hg 2.70-2.71
6 Se 0.2410 0.6705 0.6225 [4 per cell]  1 Au 2.58, 3 Hg 2.71

As for the energy relative to the elements, uncorrected: -9.56 kJ/mol of atoms.

***

Material: Li3In4Sn
Method: DFT, PBE-GGA
State: relaxed

Lattice parameters (Å, degrees): 3.2176 4.6117 12.5244 79.96 82.93 89.83
Closest atoms and distances in Å follow each position.
Space group P-1 (No. 2)
One atom of each set of equivalent atoms:
1 Li 0.0000 0.0000 0.0000 [1 per cell]  4 Sn 2.81-2.82, 4 In 2.86
2 Li 0.1435 0.6526 0.7030 [2 per cell]  9 In 3.07-3.32, 2 Li 3.22
3 In 0.2848 0.7785 0.4382 [2 per cell]  7 In 3.00-3.22, 5 Li 3.24-3.32
4 In 0.4059 0.8982 0.1933 [2 per cell]  6 Li 2.86-3.09, 1 In 3.00
5 Sn 0.5000 0.5000 0.0000 [1 per cell]  4 Li 2.81-2.82

The formation enthalpy at 0 K is -0.1620 eV per atom.

***

Which formula does entry 3 have?
Hg3AuSe4

***

Please write out number 1 again, unchanged.
Material: PaTiAu
Method: DFT, PBE-GGA
State: relaxed

Lattice parameters (Å, degrees): 4.8174 4.8174 3.1494 90.00 90.00 120.00
Closest atoms and distances in Å follow each position.
Space group P-6m2 (No. 187)
One atom of each set of equivalent atoms:
1 Pa 0.0000 0.0000 0.0000 [1 per cell]  2 Pa 3.15, 6 Ti 3.20, 6 Au 3.20
2 Ti 0.6667 0.3333 0.5000 [1 per cell]  3 Au 2.78
3 Au 0.3333 0.6667 0.5000 [1 per cell]  3 Ti 2.78

The formation enthalpy at 0 K is -0.0024 eV per atom.